The following is a DFT calculation (PBE-GGA) of a relaxed structure of Nb3AlCr8.

Output
Offset from the most stable computed form   0 meV/atom
E_tot   -9.34 eV per atom
D(E_F)   7.5 states/eV per cell
DFT formation energy   -92 meV per atom

```
12
Lattice="8.4505 0.0029 0.0018 7.0414 4.6723 0.0018 7.0414 2.1250 4.1611" Properties=species:S:1:pos:R:3 pbc="T T T"
Nb 14.0827 4.2499 2.6028
Nb 0.0359 0.0108 0.0066
Nb 11.2374 3.3912 2.0769
Cr 9.1696 1.4955 2.3436
Cr 7.0392 2.1243 1.3010
Cr 8.4661 3.8267 2.3436
Cr 9.1696 2.7672 0.2670
Cr 5.6116 0.4270 0.2615
Cr 4.9110 1.4820 2.3295
Cr 18.3166 5.5276 3.3853
Cr 4.9110 2.7485 0.2615
Al 2.8163 0.8499 0.5205
```